1.
Sr2HfZrP4 | PBE-GGA | relaxed

Output
E in eV per atom: -6.6437
Density of states at the Fermi level in states/eV per atom: 0.084
Space group: P2/m, No. 10
Energy of formation in eV/atom: -1.206

```
Sr2HfZrP4
1.0
6.778 0.000 0.000
0.000 3.923 0.000
-2.264 0.000 6.893
Sr Hf Zr P
2 1 1 4
Cartesian
0.000 0.000 0.000
3.389 1.962 0.000
-1.132 1.962 3.446
2.257 0.000 3.446
-0.019 0.000 4.889
1.112 1.962 1.996
3.402 1.962 4.897
4.533 0.000 2.004
```

2.
HfTa2P2 | PBE-GGA | relaxed

Output
E in eV per atom: -9.6164
Density of states at the Fermi level in states/eV per atom: 0.528
Space group: P4/mbm, No. 127
Energy of formation in eV/atom: -0.721

```
HfTa2P2
1.0
6.921 0.000 0.000
0.000 6.921 0.000
0.000 0.000 3.355
Hf Ta P
2 4 4
Cartesian
0.000 0.000 0.000
3.461 3.461 0.000
1.031 2.430 1.678
2.430 5.890 1.678
4.492 1.031 1.678
5.890 4.492 1.678
0.995 4.455 0.000
2.466 0.995 0.000
4.455 5.927 0.000
5.927 2.466 0.000
```

3.
HfTaP | PBE-GGA | relaxed

Output
E in eV per atom: -9.9270
Density of states at the Fermi level in states/eV per atom: 0.476
Space group: Pmma, No. 51
Energy of formation in eV/atom: -0.855

```
HfTaP
1.0
12.288 0.000 0.000
0.000 3.513 0.000
0.000 0.000 7.084
Hf Ta P
6 6 6
Cartesian
0.638 0.000 1.477
3.072 0.000 5.782
5.506 0.000 1.477
6.782 0.000 5.608
9.216 0.000 1.302
11.650 0.000 5.608
1.389 1.756 3.896
3.072 1.756 1.242
4.755 1.756 3.896
7.533 1.756 3.189
9.216 1.756 5.843
10.899 1.756 3.189
1.256 1.756 6.507
3.072 0.000 3.050
4.888 1.756 6.507
7.400 1.756 0.577
9.216 0.000 4.035
11.032 1.756 0.577
```

4.
Hf2TaP2 | PBE-GGA | relaxed

Output
E in eV per atom: -9.3807
Density of states at the Fermi level in states/eV per atom: 0.517
Space group: Ibam, No. 72
Energy of formation in eV/atom: -0.865

```
Hf2TaP2
1.0
-3.520 4.836 2.643
3.520 -4.836 2.643
3.520 4.836 -2.643
Hf Ta P
4 2 4
Cartesian
0.982 1.570 0.000
4.502 3.266 0.000
-0.982 1.570 2.643
2.538 3.266 2.643
3.520 0.000 1.321
0.000 4.836 1.321
5.529 0.972 0.000
2.009 3.864 0.000
1.511 0.972 2.643
-2.009 3.864 2.643
```

5.
Hf2TaP2 | PBE-GGA | relaxed

Output
E in eV per atom: -9.5051
Density of states at the Fermi level in states/eV per atom: 0.584
Space group: P4/mbm, No. 127
Energy of formation in eV/atom: -0.989

```
Hf2TaP2
1.0
6.800 0.000 0.000
0.000 6.800 0.000
0.000 0.000 3.586
Hf Ta P
4 2 4
Cartesian
1.093 2.307 0.000
2.307 5.707 0.000
4.493 1.093 0.000
5.707 4.493 0.000
0.000 0.000 1.793
3.400 3.400 1.793
0.969 4.369 1.793
2.431 0.969 1.793
4.369 5.831 1.793
5.831 2.431 1.793
```

6.
HfTaP | PBE-GGA | relaxed

Output
E in eV per atom: -9.6838
Density of states at the Fermi level in states/eV per atom: 0.667
Space group: C2/m, No. 12
Energy of formation in eV/atom: -0.612

```
HfTaP
1.0
7.924 -1.766 0.000
7.924 1.766 0.000
-0.568 0.000 8.006
Hf Ta P
4 4 4
Cartesian
1.010 0.000 3.125
6.548 0.000 1.525
8.732 0.000 6.481
14.270 0.000 4.881
2.898 0.000 0.390
3.575 0.000 5.534
11.705 0.000 2.472
12.382 0.000 7.616
5.107 0.000 3.577
6.087 0.000 6.859
9.193 0.000 1.147
10.173 0.000 4.429
```

7.
HfTaTeP2 | PBE-GGA | relaxed

Output
E in eV per atom: -6.2581
Density of states at the Fermi level in states/eV per atom: 1.033
Space group: P4/mmm, No. 123
Uncorrected formation energy in meV/atom: 895

```
HfTaTeP2
1.0
4.845 0.000 0.000
0.000 4.845 0.000
0.000 0.000 5.538
Hf Ta Te P
1 1 1 2
Cartesian
0.000 0.000 0.000
2.423 2.423 2.769
0.000 0.000 2.769
0.000 2.423 0.000
2.423 0.000 0.000
```

8.
HfTaP2W | PBE-GGA | relaxed

Output
E in eV per atom: -7.4836
Density of states at the Fermi level in states/eV per atom: 1.190
Space group: P4/mmm, No. 123
Energy of formation in eV/atom: 1.632

```
HfTaP2W
1.0
4.704 0.000 0.000
0.000 4.704 0.000
0.000 0.000 4.960
Hf Ta P W
1 1 2 1
Cartesian
0.000 0.000 0.000
2.352 2.352 2.480
0.000 2.352 0.000
2.352 0.000 0.000
0.000 0.000 2.480
```

9.
Tb2HfP3 | PBE-GGA | relaxed

Output
E in eV per atom: -7.3661
Density of states at the Fermi level in states/eV per atom: 0.241
Space group: I4/mmm, No. 139
Energy of formation in eV/atom: -1.459

```
Tb2HfP3
1.0
3.917 0.000 0.000
0.000 3.917 0.000
0.000 0.000 16.517
Tb Hf P
4 2 6
Cartesian
0.000 0.000 2.754
0.000 0.000 13.763
1.958 1.958 5.504
1.958 1.958 11.013
0.000 0.000 8.259
1.958 1.958 0.000
0.000 0.000 0.000
0.000 0.000 5.614
0.000 0.000 10.903
1.958 1.958 2.645
1.958 1.958 8.259
1.958 1.958 13.873
```

10.
TbHf2P4 | PBE-GGA | relaxed

Output
E in eV per atom: -7.6229
Density of states at the Fermi level in states/eV per atom: 0.283
Space group: Cmcm, No. 63
Energy of formation in eV/atom: -1.026

```
TbHf2P4
1.0
1.881 -6.231 0.000
1.881 6.231 0.000
0.000 0.000 12.106
Tb Hf P
2 4 8
Cartesian
1.881 4.914 9.080
1.881 -4.914 3.027
1.881 1.683 6.727
1.881 1.683 11.433
1.881 -1.683 0.674
1.881 -1.683 5.380
0.000 0.000 0.000
0.000 0.000 6.053
1.881 2.981 1.596
1.881 2.981 4.457
1.881 0.743 9.080
1.881 -0.743 3.027
1.881 -2.981 7.650
1.881 -2.981 10.510
```

11.
Tb3HfP4 | PBE-GGA | relaxed

Output
E in eV per atom: -7.2151
Density of states at the Fermi level in states/eV per atom: 0.182
Space group: Cmmm, No. 65
Energy of formation in eV/atom: -1.530

```
Tb3HfP4
1.0
7.892 0.000 0.000
0.000 11.113 0.000
0.000 0.000 3.929
Tb Hf P
6 2 8
Cartesian
0.000 0.000 0.000
1.973 2.778 1.965
1.973 8.335 1.965
3.946 5.556 0.000
5.919 2.778 1.965
5.919 8.335 1.965
0.000 5.556 0.000
3.946 0.000 0.000
0.000 2.867 0.000
0.000 8.246 0.000
1.858 5.556 1.965
2.088 0.000 1.965
3.946 2.690 0.000
3.946 8.423 0.000
5.804 0.000 1.965
6.034 5.556 1.965
```

12.
TbHfTh2P4 | PBE-GGA | relaxed

Output
E in eV per atom: -7.8471
Density of states at the Fermi level in states/eV per atom: 0.336
Space group: P2/m, No. 10
Energy of formation in eV/atom: -1.464

```
TbHfTh2P4
1.0
6.900 0.000 0.000
0.000 4.001 0.000
-2.305 0.000 6.545
Tb Hf Th P
1 1 2 4
Cartesian
0.000 0.000 0.000
-1.152 2.000 3.272
2.298 0.000 3.272
3.450 2.000 0.000
-0.118 0.000 4.803
1.031 2.000 1.664
3.564 2.000 4.881
4.713 0.000 1.742
```

13.
TbHfU2P4 | PBE-GGA | relaxed

Output
E in eV per atom: -8.5661
Density of states at the Fermi level in states/eV per atom: 1.171
Space group: P2/m, No. 10
Energy of formation in eV/atom: -1.216

```
TbHfU2P4
1.0
6.714 0.000 0.000
0.000 3.871 0.000
-2.222 0.000 6.416
Tb Hf U P
1 1 2 4
Cartesian
0.000 0.000 0.000
3.357 1.935 0.000
-1.111 1.935 3.208
2.246 0.000 3.208
1.192 1.935 1.590
0.076 0.000 4.870
4.416 0.000 1.546
3.299 1.935 4.826
```

14.
Tb2YHfP4 | PBE-GGA | relaxed

Output
E in eV per atom: -7.4494
Density of states at the Fermi level in states/eV per atom: 0.179
Space group: P2/m, No. 10
Energy of formation in eV/atom: -1.535

```
Tb2YHfP4
1.0
6.808 0.000 0.000
0.000 3.925 0.000
-2.245 0.000 6.428
Tb Y Hf P
2 1 1 4
Cartesian
0.000 0.000 0.000
3.404 1.962 0.000
-1.122 1.962 3.214
2.282 0.000 3.214
0.088 0.000 4.767
1.204 1.962 1.702
3.359 1.962 4.727
4.476 0.000 1.661
```

15.
TbHfZr2P4 | PBE-GGA | relaxed

Output
E in eV per atom: -8.0327
Density of states at the Fermi level in states/eV per atom: 0.371
Space group: P2/m, No. 10
Energy of formation in eV/atom: -1.368

```
TbHfZr2P4
1.0
6.579 0.000 0.000
0.000 3.788 0.000
-2.179 0.000 6.212
Tb Hf Zr P
1 1 2 4
Cartesian
0.000 0.000 0.000
3.290 1.894 0.000
-1.090 1.894 3.106
2.200 0.000 3.106
0.066 0.000 4.652
1.157 1.894 1.600
3.243 1.894 4.612
4.334 0.000 1.560
```

16.
HfTc2P | PBE-GGA | relaxed

Output
E in eV per atom: -9.4405
Density of states at the Fermi level in states/eV per atom: 0.742
Space group: Cmcm, No. 63
Energy of formation in eV/atom: -0.417

```
HfTc2P
1.0
3.856 0.000 0.000
0.000 17.072 0.000
0.000 0.000 4.033
Hf Tc P
4 8 4
Cartesian
0.000 1.773 1.008
0.000 15.299 3.025
1.928 6.763 3.025
1.928 10.308 1.008
0.000 4.291 3.025
0.000 7.934 1.008
0.000 9.138 3.025
0.000 12.781 1.008
1.928 0.602 3.025
1.928 4.245 1.008
1.928 12.827 3.025
1.928 16.469 1.008
0.000 5.590 1.008
0.000 11.482 3.025
1.928 2.946 3.025
1.928 14.126 1.008
```

17.
HfTcP2 | PBE-GGA | relaxed

Output
E in eV per atom: -8.4178
Density of states at the Fermi level in states/eV per atom: 0.525
Space group: R-3m, No. 166
Energy of formation in eV/atom: -0.633

```
HfTcP2
1.0
3.766 0.000 0.000
-1.883 3.262 0.000
0.000 0.000 15.576
Hf Tc P
3 3 6
Cartesian
0.000 0.000 0.000
0.000 2.174 10.384
1.883 1.087 5.192
0.000 0.000 7.788
0.000 2.174 2.596
1.883 1.087 12.980
0.000 0.000 3.702
0.000 0.000 11.875
0.000 2.174 6.682
0.000 2.174 14.086
1.883 1.087 1.490
1.883 1.087 8.894
```

18.
Hf3TcP | PBE-GGA | relaxed

Output
E in eV per atom: -9.0077
Density of states at the Fermi level in states/eV per atom: 1.177
Space group: Pm-3m, No. 221
Energy of formation in eV/atom: 0.120

```
Hf3TcP
1.0
4.743 0.000 0.000
0.000 4.743 0.000
0.000 0.000 4.743
Hf Tc P
3 1 1
Cartesian
0.000 0.000 2.372
0.000 2.372 0.000
2.372 0.000 0.000
2.372 2.372 2.372
0.000 0.000 0.000
```

19.
HfTcP3 | PBE-GGA | relaxed

Output
E in eV per atom: -6.3401
Density of states at the Fermi level in states/eV per atom: 0.962
Space group: Pm-3m, No. 221
Energy of formation in eV/atom: 0.970

```
HfTcP3
1.0
4.922 0.000 0.000
0.000 4.922 0.000
0.000 0.000 4.922
Hf Tc P
1 1 3
Cartesian
0.000 0.000 0.000
2.461 2.461 2.461
0.000 0.000 2.461
0.000 2.461 0.000
2.461 0.000 0.000
```

20.
Hf2Tc12P7 | PBE-GGA | relaxed

Output
E in eV per atom: -9.2116
Density of states at the Fermi level in states/eV per atom: 0.547
Space group: P-6, No. 174
Energy of formation in eV/atom: -0.537

```
Hf2Tc12P7
1.0
10.629 0.000 0.000
-5.315 9.205 0.000
0.000 0.000 3.041
Hf Tc P
2 12 7
Cartesian
0.000 0.000 0.000
0.000 6.137 1.520
-0.972 2.271 1.520
-2.469 6.464 0.000
-2.862 8.911 1.520
0.951 3.835 0.000
3.211 1.992 0.000
5.189 0.702 1.520
3.328 4.360 1.520
1.518 8.111 0.000
3.834 7.228 1.520
7.298 1.785 0.000
5.434 5.428 0.000
7.426 4.142 1.520
-1.385 4.186 0.000
1.363 1.944 1.520
-0.997 8.311 0.000
2.382 5.913 0.000
5.315 3.068 0.000
8.264 0.209 1.520
6.316 7.053 1.520
```